(1)
VASP calculation (PBE-GGA) on a geometry-optimized Sm6As3PbSe2 structure.

Output
- formation energy from raw total energies (eV per atom) = -1.485

Cell: 9.5310 9.5310 8.5886 Å, 103.13 103.13 25.60°
Last column: nearest neighbours and their distance in Å.
Element x y z (fractional)
Sm 0.0004 0.0004 0.2353  3 As 2.92-3.01, 1 Se 3.07, 2 Pb 3.10
Sm 0.9996 0.9996 0.7647  3 As 2.92-3.01, 1 Se 3.07, 2 Pb 3.10
Sm 0.3281 0.3281 0.4200  3 As 2.92-2.99, 2 Se 3.07, 1 Pb 3.11
Sm 0.3354 0.3354 0.9096  3 As 2.95-2.98, 3 Se 3.01-3.04
Sm 0.6646 0.6646 0.0904  3 As 2.95-2.98, 3 Se 3.01-3.04
Sm 0.6719 0.6719 0.5800  3 As 2.92-2.99, 2 Se 3.07, 1 Pb 3.11
As 0.1665 0.1665 0.3319  6 Sm 2.92-3.01
As 0.5000 0.5000 0.0000  6 Sm 2.92-2.98
As 0.8335 0.8335 0.6681  6 Sm 2.92-3.01
Pb 0.5000 0.5000 0.5000  6 Sm 3.10-3.11
Se 0.1690 0.1690 0.8377  6 Sm 3.01-3.07
Se 0.8310 0.8310 0.1623  6 Sm 3.01-3.07

***

(2)
VASP calculation (PBE-GGA) on a geometry-optimized Tm3ThPb structure.

Output
- formation energy from the elements (eV per atom) = -0.13

Cell: 6.0599 6.0599 11.2504 Å, 91.46 91.46 45.28°
Last column: nearest neighbours and their distance in Å.
Element x y z (fractional)
Tm 0.0490 0.0490 0.1501  2 Th 3.41, 3 Pb 3.41-3.50, 7 Tm 3.42-3.58
Tm 0.1582 0.1582 0.4467  3 Tm 3.31-3.52, 5 Th 3.37-3.58, 3 Pb 3.45-3.59
Tm 0.3485 0.3485 0.0468  8 Tm 3.36-3.58, 3 Pb 3.41-3.44, 1 Th 3.60
Tm 0.6515 0.6515 0.9532  8 Tm 3.36-3.58, 3 Pb 3.41-3.44, 1 Th 3.60
Tm 0.8418 0.8418 0.5533  3 Tm 3.31-3.52, 5 Th 3.37-3.58, 3 Pb 3.45-3.59
Tm 0.9510 0.9510 0.8499  2 Th 3.41, 3 Pb 3.41-3.50, 7 Tm 3.42-3.58
Th 0.4607 0.4607 0.3502  8 Tm 3.37-3.60, 1 Th 3.46, 3 Pb 3.48-3.52
Th 0.5393 0.5393 0.6498  8 Tm 3.37-3.60, 1 Th 3.46, 3 Pb 3.48-3.52
Pb 0.2465 0.2465 0.7559  9 Tm 3.41-3.59, 3 Th 3.48-3.52
Pb 0.7535 0.7535 0.2441  9 Tm 3.41-3.59, 3 Th 3.48-3.52

***

(3)
VASP calculation (PBE-GGA) on a geometry-optimized Er2UP3 structure.

Output
- formation energy from the elements (eV per atom) = -1.40

Cell: 6.8262 6.8262 6.8714 Å, 99.53 99.53 120.02°
Last column: nearest neighbours and their distance in Å.
Element x y z (fractional)
Er 0.0000 0.0000 0.0000  6 P 2.80
Er 0.1650 0.8350 0.5000  6 P 2.80-2.82
Er 0.5000 0.5000 0.5000  6 P 2.78-2.82
Er 0.8350 0.1650 0.5000  6 P 2.80-2.82
U 0.3332 0.6668 0.0000  6 P 2.77-2.78
U 0.6668 0.3332 0.0000  6 P 2.77-2.78
P 0.0822 0.4192 0.2469  2 U 2.77, 4 Er 2.80-2.82
P 0.2545 0.2545 0.7526  2 U 2.78, 4 Er 2.78-2.80
P 0.4192 0.0822 0.2469  2 U 2.77, 4 Er 2.80-2.82
P 0.5808 0.9178 0.7531  2 U 2.77, 4 Er 2.80-2.82
P 0.7455 0.7455 0.2474  2 U 2.78, 4 Er 2.78-2.80
P 0.9178 0.5808 0.7531  2 U 2.77, 4 Er 2.80-2.82

***

(4)
VASP calculation (PBE-GGA) on a geometry-optimized PaRuPt structure.

Output
- formation energy from the elements (eV per atom) = -0.68
- ΔE to the lowest computed polymorph (eV per atom) = 0.069

Cell: 3.6267 13.2672 4.7167 Å, 90.00 90.00 90.00°
Last column: nearest neighbours and their distance in Å.
Element x y z (fractional)
Pa 0.0000 0.1142 0.2500  4 Ru 2.61-2.92
Pa 0.0000 0.8858 0.7500  4 Ru 2.61-2.92
Pa 0.5000 0.3858 0.7500  4 Ru 2.61-2.92
Pa 0.5000 0.6142 0.2500  4 Ru 2.61-2.92
Ru 0.0000 0.2440 0.7500  4 Pa 2.61-2.92
Ru 0.0000 0.7560 0.2500  4 Pa 2.61-2.92
Ru 0.5000 0.2560 0.2500  4 Pa 2.61-2.92
Ru 0.5000 0.7440 0.7500  4 Pa 2.61-2.92
Pt 0.0000 0.4347 0.2500  2 Pt 2.93, 2 Ru 2.98, 6 Pa 2.99-3.04
Pt 0.0000 0.5653 0.7500  2 Pt 2.93, 2 Ru 2.98, 6 Pa 2.99-3.04
Pt 0.5000 0.0653 0.7500  2 Pt 2.93, 2 Ru 2.98, 6 Pa 2.99-3.04
Pt 0.5000 0.9347 0.2500  2 Pt 2.93, 2 Ru 2.98, 6 Pa 2.99-3.04

***

(5)
VASP calculation (PBE-GGA) on a geometry-optimized TaNb2Ru4 structure.

Output
- formation energy from the elements (eV per atom) = 1.03
- ΔE to the lowest computed polymorph (eV per atom) = 1.028

Cell: 4.6597 4.6597 12.7522 Å, 90.00 90.00 90.00°
Last column: nearest neighbours and their distance in Å.
Element x y z (fractional)
Ta 0.0000 0.0000 0.0000  6 Ru 2.33-2.51
Ta 0.5000 0.5000 0.5000  6 Ru 2.33-2.51
Nb 0.0000 0.0000 0.3721  1 Ru 2.24
Nb 0.0000 0.0000 0.6279  1 Ru 2.24
Nb 0.5000 0.5000 0.1279  1 Ru 2.24
Nb 0.5000 0.5000 0.8721  1 Ru 2.24
Ru 0.0000 0.0000 0.1966  1 Nb 2.24, 1 Ta 2.51
Ru 0.0000 0.0000 0.8034  1 Nb 2.24, 1 Ta 2.51
Ru 0.0000 0.5000 0.0000  2 Ta 2.33
Ru 0.0000 0.5000 0.5000  2 Ta 2.33
Ru 0.5000 0.0000 0.0000  2 Ta 2.33
Ru 0.5000 0.0000 0.5000  2 Ta 2.33
Ru 0.5000 0.5000 0.3034  1 Nb 2.24, 1 Ta 2.51
Ru 0.5000 0.5000 0.6966  1 Nb 2.24, 1 Ta 2.51

***

(6)
VASP calculation (PBE-GGA) on a geometry-optimized KNiAs2 structure.

Output
- formation energy from the elements (eV per atom) = -0.15
- ΔE to the lowest computed polymorph (eV per atom) = 0.169

Cell: 3.5922 3.8291 6.6585 Å, 90.00 90.00 90.00°
Last column: nearest neighbours and their distance in Å.
Element x y z (fractional)
K 0.0000 0.0000 0.0000  6 As 3.34-3.35, 2 K 3.59, 2 Ni 3.72
Ni 0.5000 0.0000 0.4885  2 As 2.33
As 0.0000 0.5000 0.4136  2 As 2.57, 4 Ni 2.67
As 0.5000 0.5000 0.6888  2 Ni 2.33, 2 As 2.57

***

(7)
VASP calculation (PBE-GGA) on a geometry-optimized Cr2CuSb structure.

Output
- formation energy from raw total energies (eV per atom) = 0.296

Cell: 3.2232 3.2232 5.9803 Å, 90.00 90.00 90.00°
Last column: nearest neighbours and their distance in Å.
Element x y z (fractional)
Cr 0.0000 0.0000 0.0000  1 Cu 2.57, 4 Cr 2.57, 4 Sb 2.88
Cr 0.5000 0.5000 0.2003  4 Cr 2.57, 4 Cu 2.66
Cu 0.0000 0.0000 0.4302  5 Cr 2.57-2.66, 4 Sb 2.82
Sb 0.5000 0.5000 0.7067  4 Cu 2.82, 6 Cr 2.88-3.03

***

(8)
VASP calculation (PBE-GGA) on a geometry-optimized LiPrPt structure.

Output
- formation energy from the elements (eV per atom) = -0.80
- ΔE to the lowest computed polymorph (eV per atom) = 0.000

Cell: 7.3769 7.3769 4.1634 Å, 90.00 90.00 120.00°
Last column: nearest neighbours and their distance in Å.
Element x y z (fractional)
Li 0.0000 0.2307 0.0000  4 Pt 2.69-2.91, 2 Li 2.95
Li 0.2307 0.0000 0.0000  4 Pt 2.69-2.91, 2 Li 2.95
Li 0.7693 0.7693 0.0000  4 Pt 2.69-2.91, 2 Li 2.95
Pr 0.0000 0.5920 0.5000  5 Pt 3.01-3.05, 4 Li 3.34
Pr 0.4080 0.4080 0.5000  5 Pt 3.01-3.05, 4 Li 3.34
Pr 0.5920 0.0000 0.5000  5 Pt 3.01-3.05, 4 Li 3.34
Pt 0.0000 0.0000 0.5000  6 Li 2.69, 3 Pr 3.01
Pt 0.3333 0.6667 0.0000  3 Li 2.91, 6 Pr 3.05
Pt 0.6667 0.3333 0.0000  3 Li 2.91, 6 Pr 3.05

***

no.,final energy (eV/atom)
1,-5.90
2,-5.04
3,-7.50
4,-8.95
5,-8.84
6,-4.19
7,-6.57
8,-5.04